A plane-wave DFT calculation with PBE was carried out for a geometry-optimized Li6Rh2Au structure.

Computed properties:
DOS(E_F) = 0.4874 states/eV/atom
Electronic total energy = -3.513 eV per atom
Size of the total moment = 0.1 μB/cell
Formation energy = -239 meV per atom

Lattice parameters (Å, degrees): 7.419 7.419 2.636 90.09 90.09 60.01
Element x y z (fractional)
Li: 0.161 0.500 0.002
Li: 0.161 0.839 0.000
Li: 0.500 0.161 0.002
Li: 0.500 0.839 0.998
Li: 0.839 0.161 0.000
Li: 0.839 0.500 0.998
Rh: 0.167 0.167 0.500
Rh: 0.833 0.833 0.500
Au: 0.500 0.500 0.500